First-principles (PBE) data for a relaxed structure of Mg8Cd2Hg, as listed in the Alexandria database.

## Properties
- Total DFT energy (no corrections): -1.425 eV per atom
- SG: P1 (1)
- Calculated formation energy: -0.07 eV per atom

Unit cell a=4.7553 b=7.3860 c=8.2305 alpha=116.28 beta=105.86 gamma=91.05
Atoms (fractional coordinates):
Mg 0.0000 0.0000 0.0000
Mg 0.0465 0.5877 0.1028
Mg 0.2195 0.0602 0.4493
Mg 0.3419 0.8348 0.6893
Mg 0.4550 0.2995 0.9268
Mg 0.6343 0.1748 0.2743
Mg 0.6858 0.6892 0.3778
Mg 0.8409 0.5122 0.6889
Cd 0.1881 0.4245 0.3773
Cd 0.4996 0.7367 0.0018
Hg 0.8377 0.1112 0.6886